Entry from Alexandria via LeMat-Bulk: crystalline LaAsP2 at its relaxed geometry (GGA-PBE).

Geometry as POSCAR:
```
LaAsP2
1.0
-1.7050 -2.4482 5.4575
-2.0231 -5.1044 -2.9218
3.6574 -6.3032 1.8593
P As La
4 2 2
Cartesian
-0.3142 -3.6148 3.2226
-0.6531 -5.2012 -0.3912
1.2383 -7.8289 2.1912
-0.4123 -11.0666 3.7673
-1.8641 -3.7763 1.2678
-0.1149 -7.5919 0.1026
0.0000 0.0000 0.0000
0.0442 -6.2638 4.2923
```

Calculated values
Space-group type ... No. 122

Entry from Alexandria via LeMat-Bulk: crystalline LaAs2P at its relaxed geometry (GGA-PBE).

Geometry as POSCAR:
```
LaAs2P
1.0
7.0885 -0.0107 -0.0066
5.9065 3.9191 -0.0066
5.9065 1.7764 3.4934
As La P
2 1 1
Cartesian
0.0265 0.0080 0.0049
4.9380 1.4851 0.9092
9.3408 2.8093 1.7199
14.0471 4.2248 2.5864
```

Calculated values
Space-group type ... No. 160

Entry from Alexandria via LeMat-Bulk: crystalline LaAsP at its relaxed geometry (GGA-PBE).

Geometry as POSCAR:
```
LaAsP
1.0
4.7628 0.0000 0.0000
2.3814 4.1247 0.0000
2.3814 1.3749 3.8888
As La P
1 1 1
Cartesian
0.0000 0.0000 0.0000
4.7628 2.7498 1.9444
7.1442 4.1247 2.9166
```

Calculated values
Space-group type ... No. 216
Energy above the most stable polymorph in this dataset ... 0.322 eV per atom

Entry from Alexandria via LeMat-Bulk: crystalline La2AsP2 at its relaxed geometry (GGA-PBE).

Geometry as POSCAR:
```
La2AsP2
1.0
-3.0106 2.0893 1.1366
-1.2210 -2.9311 2.1537
2.1881 2.3797 7.8966
P As La
2 1 2
Cartesian
-1.4691 2.0240 5.3392
-0.5743 -0.4861 5.8477
0.0000 0.0000 0.0000
-1.1957 0.1778 2.9815
-0.8477 1.3601 8.2054
```

Calculated values
Space-group type ... No. 139
Energy above the most stable polymorph in this dataset ... 0.000 eV per atom

Entry from Alexandria via LeMat-Bulk: crystalline LaAsP2 at its relaxed geometry (GGA-PBE).

Geometry as POSCAR:
```
LaAsP2
1.0
-2.7140 -4.5400 -0.8815
-0.8184 -4.4484 2.8803
-3.8372 0.7715 1.9147
As La P
1 1 2
Cartesian
-3.2264 -4.1972 1.7279
-5.5611 -6.1427 2.9518
-3.9067 -8.7884 2.1826
-1.8926 -2.1855 1.0069
```

Calculated values
Space-group type ... No. 8

Entry from Alexandria via LeMat-Bulk: crystalline La4As3P at its relaxed geometry (GGA-PBE).

Geometry as POSCAR:
```
La4As3P
1.0
4.3547 0.0000 0.0000
0.0000 7.1327 -2.4433
0.0000 -0.0699 7.5393
P As La
1 3 4
Cartesian
2.1774 0.0000 0.0000
0.0000 -0.0350 3.7696
2.1774 3.5314 2.5480
0.0000 3.5664 -1.2217
0.0000 1.7370 1.2533
2.1774 5.3471 0.0315
0.0000 5.3258 3.8427
2.1774 1.7157 5.0645
```

Calculated values
Space-group type ... No. 65

Entry from Alexandria via LeMat-Bulk: crystalline LaAsP at its relaxed geometry (GGA-PBE).

Geometry as POSCAR:
```
LaAsP
1.0
-0.5112 -2.9204 3.9083
3.6154 -0.3390 3.2983
-0.5619 1.9532 4.4647
As La P
1 1 1
Cartesian
1.2711 -0.6531 5.8357
1.9067 -0.9796 8.7535
0.0000 0.0000 0.0000
```

Calculated values
Space-group type ... No. 216
Energy above the most stable polymorph in this dataset ... 0.510 eV per atom

Entry from Alexandria via LeMat-Bulk: crystalline La3As2P at its relaxed geometry (GGA-PBE).

Geometry as POSCAR:
```
La3As2P
1.0
-0.2836 0.0742 -4.3360
2.9142 -5.4017 -0.2830
-7.0369 -0.4399 2.6306
La As P
3 2 1
Cartesian
-0.4820 -1.8361 -3.2668
-3.9242 -3.9313 1.2783
-3.6602 -0.1828 -0.8527
1.0274 -4.5085 -3.4112
-5.4337 -1.2588 1.4228
-2.2031 -2.8837 -0.9942
```

Calculated values
Space-group type ... No. 71

| no. | E_form (kcal/mol of atoms) |
| --- | --- |
| 1 | -6.8 |
| 2 | -11.4 |
| 3 | -13.2 |
| 4 | -24.8 |
| 5 | -13.3 |
| 6 | -36.3 |
| 7 | -8.8 |
| 8 | -36.3 |